Entry 1:
Computed, not measured: crystalline SrZrCd2 at its relaxed geometry at the PBE-GGA level of DFT.

extended XYZ file:
```
4
Lattice="1.7938 1.0357 10.0464 -1.7938 1.0357 10.0464 0.0000 -2.0713 10.0464" Properties=species:S:1:pos:R:3 pbc="T T T"
Sr 0.0000 0.0000 0.0000
Zr 0.0000 0.0000 15.0696
Cd 0.0000 0.0000 7.2977
Cd 0.0000 0.0000 22.8414
```

Computed properties:
As for the calculated formation energy: 0.49 eV/f.u. Its calculated volume is 28.00 Å³ per atom.


Entry 2:
Computed, not measured: crystalline RbCaPu2Cl8 at its relaxed geometry at the PBE-GGA level of DFT.

extended XYZ file:
```
12
Lattice="6.6219 0.0000 0.0000 0.0000 8.8081 0.0000 -0.1857 0.0000 6.7965" Properties=species:S:1:pos:R:3 pbc="T T T"
Rb 0.0000 0.0000 0.0000
Ca 0.0000 4.4040 0.0000
Pu 3.2181 2.2444 3.3982
Pu 3.2181 6.5637 3.3982
Cl 1.5554 2.5038 1.1863
Cl 1.5554 6.3043 1.1863
Cl 1.6979 4.4040 4.5408
Cl 1.7514 0.0000 4.2485
Cl 4.6848 0.0000 2.5480
Cl 4.7383 4.4040 2.2557
Cl 4.8808 2.5038 5.6101
Cl 4.8808 6.3043 5.6101
```

Computed properties:
For the energy relative to the elements, uncorrected, the calculation gives -2.02 eV/atom. Its calculated volume is 33.03 Å³ per atom.


Entry 3:
Computed, not measured: crystalline Y4ZrFe at its relaxed geometry at the PBE-GGA level of DFT.

extended XYZ file:
```
6
Lattice="0.0000 4.4042 4.4042 4.4042 0.0000 4.4042 4.4042 4.4042 0.0000" Properties=species:S:1:pos:R:3 pbc="T T T"
Y 1.1000 1.1000 1.1000
Y 3.3042 3.3042 1.1000
Y 3.3042 1.1000 3.3042
Y 1.1000 3.3042 3.3042
Zr 6.6063 6.6063 6.6063
Fe 4.4042 4.4042 4.4042
```

Computed properties:
As for the calculated formation energy: 4.87 eV/f.u. Its calculated volume is 28.48 Å³ per atom.


Entry 4:
Computed, not measured: crystalline MgTe2Cl at its relaxed geometry at the PBE-GGA level of DFT.

extended XYZ file:
```
4
Lattice="4.0949 0.0000 0.0000 0.0000 4.3307 0.0000 0.0000 0.0000 6.2972" Properties=species:S:1:pos:R:3 pbc="T T T"
Mg 0.0000 0.0000 0.0000
Te 0.0000 2.1653 3.1486
Te 2.0475 0.0000 3.1486
Cl 2.0475 2.1653 0.0000
```

Computed properties:
The energy above the most stable polymorph in this dataset is 0.390 eV/atom. For the energy relative to the elements, uncorrected, the calculation gives -0.34 eV/atom. Its calculated volume is 27.92 Å³ per atom.


Entry 5:
Computed, not measured: crystalline Ho7HPb4 at its relaxed geometry at the PBE-GGA level of DFT.

extended XYZ file:
```
12
Lattice="8.1218 -2.5360 0.0000 8.1218 2.5360 0.0000 -6.9223 0.0000 8.4995" Properties=species:S:1:pos:R:3 pbc="T T T"
Ho 0.0000 0.0000 0.0000
Ho -1.6048 0.0000 4.7164
Ho 3.6801 0.0000 1.2219
Ho 1.8831 0.0000 6.2867
Ho 7.4382 0.0000 2.2128
Ho 5.6412 0.0000 7.2776
Ho 10.9261 0.0000 3.7831
H 8.1218 0.0000 0.0000
Pb -4.1847 0.0000 6.7042
Pb 1.1778 0.0000 2.9442
Pb 8.1436 0.0000 5.5553
Pb 13.5060 0.0000 1.7953
```

Computed properties:
The total energy comes out at -4.46 eV per atom. Its calculated volume is 29.18 Å³ per atom.


Entry 6:
Computed, not measured: crystalline NaPr2Hf at its relaxed geometry at the PBE-GGA level of DFT.

extended XYZ file:
```
4
Lattice="3.4595 0.0000 0.0000 0.0000 3.4595 0.0000 0.0000 0.0000 10.6792" Properties=species:S:1:pos:R:3 pbc="T T T"
Na 0.0000 0.0000 0.0000
Pr 1.7298 1.7298 3.0110
Pr 1.7298 1.7298 7.6683
Hf 0.0000 0.0000 5.3396
```

Computed properties:
As for the calculated formation energy: 0.64 eV/f.u. Its calculated volume is 31.95 Å³ per atom.


Entry 7:
Computed, not measured: crystalline ZrCd2Te at its relaxed geometry at the PBE-GGA level of DFT.

extended XYZ file:
```
4
Lattice="2.8744 -4.5279 0.0000 2.8744 4.5279 0.0000 0.0000 0.0000 3.7490" Properties=species:S:1:pos:R:3 pbc="T T T"
Zr 0.0000 0.0000 0.0000
Cd 1.4372 2.2639 1.8745
Cd 1.4372 -2.2639 1.8745
Te 2.8744 0.0000 0.0000
```

Computed properties:
For the energy relative to the elements, uncorrected, the calculation gives -0.09 eV/atom. Its calculated volume is 24.40 Å³ per atom.


Entry 8:
Computed, not measured: crystalline Mg2BeFe at its relaxed geometry at the PBE-GGA level of DFT.

extended XYZ file:
```
4
Lattice="2.9257 0.0000 0.0000 0.0000 2.9257 0.0000 0.0000 0.0000 6.9446" Properties=species:S:1:pos:R:3 pbc="T T T"
Mg 0.0000 0.0000 0.0000
Mg 1.4628 1.4628 2.4816
Be 0.0000 0.0000 4.3684
Fe 1.4628 1.4628 5.1586
```

Computed properties:
As for the calculated formation energy: 0.54 eV/f.u. Its calculated volume is 14.86 Å³ per atom.


no.,total magnetization (μB/atom)
1,0.000
2,0.917
3,0.211
4,0.000
5,0.036
6,0.000
7,0.000
8,0.240